Hf5U | GGA-PBE | relaxed

Values from the calculation:
- Energy relative to the elements: 18 kJ/mol of atoms
- DFT total energy: -59.91 eV for the cell shown

a b c (Å): 7.136 7.136 4.474
angles (deg): 90.00 90.00 143.67
Atoms (fractional coordinates):
Hf 0.000 0.000 0.000
Hf 0.165 0.835 0.500
Hf 0.332 0.668 0.000
Hf 0.668 0.332 0.000
Hf 0.835 0.165 0.500
U 0.500 0.500 0.500